Record 1
# Na3MgIn7 (PBE, relaxed)
# Fermi-level density of states = 12.51 states/eV per cell
# ΔH_f (0 K) = -64 meV/atom
data_Na3MgIn7
_chemical_formula_sum 'Na12 Mg4 In28'
_cell_length_a 3.3869
_cell_length_b 22.5030
_cell_length_c 16.2207
_cell_angle_alpha 90.00
_cell_angle_beta 90.00
_cell_angle_gamma 90.00
_space_group_name_H-M_alt 'C m c m'
_space_group_IT_number 63
_space_group_name_Hall '-C 2c 2'
loop_
_atom_site_label
_atom_site_type_symbol
_atom_site_fract_x
_atom_site_fract_y
_atom_site_fract_z
Na1 Na 0.0000 0.1171 0.0318
Na2 Na 0.0000 0.2623 0.7500
Mg1 Mg 0.0000 0.0292 0.7500
In1 In 0.0000 0.2547 0.0775
In2 In 0.0000 0.3713 0.1568
In3 In 0.0000 0.4101 0.7500
In4 In 0.0000 0.4994 0.0917

Record 2
# Nd4Dy3Er4 (PBE, relaxed)
# Fermi-level density of states = 33.61 states/eV per cell
# Relative energy among the computed polymorphs = 0.028 eV/atom
# ΔH_f (0 K) = 152 meV/atom
data_Nd4Dy3Er4
_chemical_formula_sum 'Nd8 Dy6 Er8'
_cell_length_a 10.6414
_cell_length_b 5.6791
_cell_length_c 12.0382
_cell_angle_alpha 90.00
_cell_angle_beta 90.00
_cell_angle_gamma 90.00
_space_group_name_H-M_alt 'A m m 2'
_space_group_IT_number 38
_space_group_name_Hall 'A 2 -2'
loop_
_atom_site_label
_atom_site_type_symbol
_atom_site_fract_x
_atom_site_fract_y
_atom_site_fract_z
Nd1 Nd 0.0000 0.0000 0.0000
Nd2 Nd 0.2081 0.0000 0.7948
Nd3 Nd 0.5000 0.0000 0.9213
Dy1 Dy 0.0000 0.0000 0.2935
Dy2 Dy 0.2878 0.0000 0.4502
Er1 Er 0.0000 0.0000 0.5923
Er2 Er 0.3028 0.0000 0.1432
Er3 Er 0.5000 0.0000 0.6488

Record 3
# TbNF (PBE, relaxed)
# E_form (uncorrected) = -2.3317 eV per atom
data_TbNF
_chemical_formula_sum 'Tb4 N4 F4'
_cell_length_a 5.8647
_cell_length_b 4.7942
_cell_length_c 5.8953
_cell_angle_alpha 90.00
_cell_angle_beta 97.73
_cell_angle_gamma 90.00
_space_group_name_H-M_alt 'C 1 2/m 1'
_space_group_IT_number 12
_space_group_name_Hall '-C 2y'
loop_
_atom_site_label
_atom_site_type_symbol
_atom_site_fract_x
_atom_site_fract_y
_atom_site_fract_z
Tb1 Tb 0.2296 0.0000 0.2250
N1 N 0.0000 0.3373 0.0000
F1 F 0.0000 0.2475 0.5000